1.
DFT (GGA-PBE) results for an optimized crystal structure of PmAs.

a b c (Å): 4.246 4.246 4.246
angles (deg): 58.82 58.82 58.82
Positions (direct):
As (0.000, 0.000, 0.000)
Pm (0.500, 0.500, 0.500)

Computed properties:
The calculation puts the distance to the lowest polymorph of the same formula at 6 meV/atom. The spin magnetization comes out at 0.0 μB/cell.

---

2.
DFT (GGA-PBE) results for an optimized crystal structure of AcNbZn.

a b c (Å): 4.856 4.856 4.856
angles (deg): 60.00 60.00 60.00
Last column: magnetic moment on the atom in μB.
Positions (direct):
Ac (0.250, 0.250, 0.250)  0.09
Nb (0.750, 0.750, 0.750)  1.31
Zn (0.000, 0.000, 0.000)  -0.02

Computed properties:
The calculation puts the distance to the lowest polymorph of the same formula at 0 meV/atom. The spin magnetization comes out at 1.8 μB/cell. Its formation energy is 0.70 eV/atom.

---

3.
DFT (GGA-PBE) results for an optimized crystal structure of BaYPd.

a b c (Å): 5.033 5.033 5.033
angles (deg): 60.00 60.00 60.00
Positions (direct):
Ba (0.000, 0.000, 0.000)
Pd (0.250, 0.250, 0.250)
Y (0.750, 0.750, 0.750)

Computed properties:
The calculation puts the distance to the lowest polymorph of the same formula at 696 meV/atom. The spin magnetization comes out at 0.0 μB/cell.